Entry 1:
# MgZrInAu

A relaxed MgZrInAu crystal (GGA-PBE, Alexandria).

Output
* theoretical density: 8.660 g/cm³
* energy relative to the elements: -148 kJ/mol of formula units

Cell: 4.071 4.417 4.556 Å, 90.00 90.00 90.00°
Space group Pmmm (No. 47)
Inequivalent atoms, fractional coordinates:
Mg 0.000 0.000 0.000 (multiplicity 1)
Zr 0.000 0.500 0.500 (multiplicity 1)
In 0.500 0.000 0.500 (multiplicity 1)
Au 0.500 0.500 0.000 (multiplicity 1)


Entry 2:
# ErScAg2S4

A relaxed ErScAg2S4 crystal (GGA-PBE, Alexandria).

Output
* theoretical density: 5.604 g/cm³
* formation energy (no corrections): -1.2174 eV per atom

Cell: 6.744 3.887 6.830 Å, 90.00 112.98 90.00°
Space group P2/m (No. 10)
Inequivalent atoms, fractional coordinates:
Er 0.000 0.000 0.000 (multiplicity 1)
Sc 0.500 0.500 0.000 (multiplicity 1)
Ag 0.000 0.500 0.500 (multiplicity 1)
Ag 0.500 0.000 0.500 (multiplicity 1)
S 0.252 0.000 0.771 (multiplicity 2)
S 0.269 0.500 0.230 (multiplicity 2)


Entry 3:
# Ac2La2Te5

A relaxed Ac2La2Te5 crystal (GGA-PBE, Alexandria).

Output
* theoretical density: 7.181 g/cm³
* formation energy (no corrections): -1.4856 eV per atom

Cell: 17.002 5.646 6.890 Å, 90.00 106.71 90.00°
Space group C2/m (No. 12)
Inequivalent atoms, fractional coordinates:
Ac 0.091 0.000 0.358 (multiplicity 4)
La 0.192 0.500 0.809 (multiplicity 4)
Te 0.000 0.500 0.500 (multiplicity 2)
Te 0.111 0.000 0.891 (multiplicity 4)
Te 0.208 0.500 0.314 (multiplicity 4)


Entry 4:
# KRbTl2Zn

A relaxed KRbTl2Zn crystal (GGA-PBE, Alexandria).

Output
* theoretical density: 4.922 g/cm³
* energy relative to the elements: 55 kJ/mol of formula units
* excess energy over the best structure of this formula in the dataset: 34 meV/atom

Cell: 5.585 5.585 6.476 Å, 90.00 90.00 90.00°
Space group P4/mmm (No. 123)
Inequivalent atoms, fractional coordinates:
K 0.000 0.000 0.000 (multiplicity 1)
Rb 0.500 0.500 0.000 (multiplicity 1)
Tl 0.000 0.500 0.500 (multiplicity 2)
Zn 0.500 0.500 0.500 (multiplicity 1)


Entry 5:
# LiAsBr

A relaxed LiAsBr crystal (GGA-PBE, Alexandria).

Output
* theoretical density: 4.058 g/cm³
* formation energy (no corrections): 0.0110 eV per atom
* excess energy over the best structure of this formula in the dataset: 831 meV/atom

Cell: 6.421 6.421 6.421 Å, 90.00 90.00 90.00°
Space group F-43m (No. 216)
Inequivalent atoms, fractional coordinates:
Li 0.000 0.000 0.000 (multiplicity 4)
As 0.250 0.250 0.250 (multiplicity 4)
Br 0.250 0.250 0.750 (multiplicity 4)


Entry 6:
# Sc5AlZn

A relaxed Sc5AlZn crystal (GGA-PBE, Alexandria).

Output
* theoretical density: 3.398 g/cm³
* energy relative to the elements: -39 kJ/mol of formula units

Cell: 7.698 8.000 10.281 Å, 90.00 101.66 90.00°
Space group C2/c (No. 15)
Inequivalent atoms, fractional coordinates:
Sc 0.000 0.112 0.250 (multiplicity 4)
Sc 0.120 0.361 0.529 (multiplicity 8)
Sc 0.204 0.218 0.846 (multiplicity 8)
Al 0.000 0.475 0.250 (multiplicity 4)
Zn 0.000 0.000 0.000 (multiplicity 4)


Entry 7:
# P2IrSe

A relaxed P2IrSe crystal (GGA-PBE, Alexandria).

Output
* theoretical density: 7.595 g/cm³
* formation energy (no corrections): 0.0117 eV per atom

Cell: 6.894 3.424 6.237 Å, 90.00 98.36 90.00°
Space group Cm (No. 8)
Inequivalent atoms, fractional coordinates:
P 0.000 0.000 0.000 (multiplicity 2)
P 0.125 0.000 0.696 (multiplicity 2)
Ir 0.423 0.000 0.551 (multiplicity 2)
Se 0.148 0.500 0.260 (multiplicity 2)


Entry 8:
# NpAgS2

A relaxed NpAgS2 crystal (GGA-PBE, Alexandria).

Output
* theoretical density: 7.965 g/cm³
* formation energy (no corrections): -0.7667 eV per atom

Cell: 3.8508 3.8508 19.9194 Å, 90.00 90.00 120.00°
Space group R3m (No. 160, hexagonal axes)
Inequivalent atoms, fractional coordinates:
Np 0.0000 0.0000 0.0000 (multiplicity 3)
Ag 0.0000 0.0000 0.1702 (multiplicity 3)
S 0.0000 0.0000 0.5830 (multiplicity 3)
S 0.0000 0.0000 0.7496 (multiplicity 3)


Entry 9:
# DyMgIn2Te4

A relaxed DyMgIn2Te4 crystal (GGA-PBE, Alexandria).

Output
* theoretical density: 6.084 g/cm³
* formation energy (no corrections): -0.7177 eV per atom

Cell: 7.602 4.377 8.021 Å, 90.00 108.61 90.00°
Space group P2/m (No. 10)
Inequivalent atoms, fractional coordinates:
Dy 0.000 0.000 0.000 (multiplicity 1)
Mg 0.500 0.500 0.000 (multiplicity 1)
In 0.000 0.500 0.500 (multiplicity 1)
In 0.500 0.000 0.500 (multiplicity 1)
Te 0.244 0.500 0.230 (multiplicity 2)
Te 0.265 0.000 0.777 (multiplicity 2)


Entry 10:
# Rb3NaCe2Te6

A relaxed Rb3NaCe2Te6 crystal (GGA-PBE, Alexandria).

Output
* theoretical density: 4.602 g/cm³
* formation energy (no corrections): -1.1815 eV per atom

Cell: 8.079 13.995 8.874 Å, 90.00 107.60 90.00°
Space group C2/m (No. 12)
Inequivalent atoms, fractional coordinates:
Rb 0.000 0.000 0.000 (multiplicity 2)
Rb 0.000 0.341 0.000 (multiplicity 4)
Na 0.000 0.500 0.500 (multiplicity 2)
Ce 0.000 0.167 0.500 (multiplicity 4)
Te 0.213 0.000 0.698 (multiplicity 4)
Te 0.245 0.322 0.701 (multiplicity 8)


Entry 11:
# AcTe4Au

A relaxed AcTe4Au crystal (GGA-PBE, Alexandria).

Output
* theoretical density: 7.235 g/cm³
* formation energy (no corrections): -0.6195 eV per atom

Cell: 10.991 7.048 11.087 Å, 90.00 92.89 90.00°
Space group C2/c (No. 15)
Inequivalent atoms, fractional coordinates:
Ac 0.000 0.202 0.250 (multiplicity 4)
Te 0.013 0.184 0.936 (multiplicity 8)
Te 0.231 0.498 0.814 (multiplicity 8)
Au 0.250 0.250 0.000 (multiplicity 4)


Entry 12:
# TiPbS2

A relaxed TiPbS2 crystal (GGA-PBE, Alexandria).

Output
* theoretical density: 5.918 g/cm³
* formation energy (no corrections): -1.0120 eV per atom

Cell: 3.4382 3.4382 26.2456 Å, 90.00 90.00 120.00°
Space group R-3m (No. 166, hexagonal axes)
Inequivalent atoms, fractional coordinates:
Ti 0.0000 0.0000 0.0000 (multiplicity 3)
Pb 0.0000 0.0000 0.5000 (multiplicity 3)
S 0.0000 0.0000 0.3880 (multiplicity 6)